# 1
The following is a DFT calculation (PBE) of a relaxed Pr5Np3S8 crystal.

Lattice parameters (Å, degrees): 8.0736 8.0736 8.0736 59.93 59.93 59.93
Element x y z (fractional)
Pr (0.0000, 0.0000, 0.0000)
Pr (0.0000, 0.5000, 0.5000)
Pr (0.5000, 0.0000, 0.5000)
Pr (0.5000, 0.5000, 0.0000)
Pr (0.5000, 0.5000, 0.5000)
Np (0.0000, 0.0000, 0.5000)
Np (0.0000, 0.5000, 0.0000)
Np (0.5000, 0.0000, 0.0000)
S (0.2386, 0.7500, 0.7500)
S (0.2440, 0.2440, 0.2440)
S (0.2500, 0.2500, 0.7614)
S (0.2500, 0.7614, 0.2500)
S (0.7500, 0.2386, 0.7500)
S (0.7500, 0.7500, 0.2386)
S (0.7560, 0.7560, 0.7560)
S (0.7614, 0.2500, 0.2500)

## Properties
total magnetic moment: 12.84 μB per formula unit
SG: R-3m (166)
calculated total energy: -7.75 eV/atom
N(E_F): 29.66 states/eV per cell



# 2
The following is a DFT calculation (PBE) of a relaxed Pr3NpS4 crystal.

Lattice parameters (Å, degrees): 7.0400 7.0400 4.0485 90.00 90.00 109.30
Element x y z (fractional)
Pr (0.0000, 0.0000, 0.0000)
Pr (0.0000, 0.5000, 0.5000)
Pr (0.5000, 0.0000, 0.5000)
Np (0.5000, 0.5000, 0.0000)
S (0.2554, 0.7446, 0.0000)
S (0.2616, 0.2616, 0.5000)
S (0.7384, 0.7384, 0.5000)
S (0.7446, 0.2554, 0.0000)

## Properties
total magnetic moment: 4.44 μB per formula unit
SG: Cmmm (65)
calculated total energy: -7.32 eV/atom
N(E_F): 11.61 states/eV per cell



# 3
The following is a DFT calculation (PBE) of a relaxed PrNp3S6 crystal.

Lattice parameters (Å, degrees): 10.8857 4.0024 11.4924 90.00 107.29 90.00
Element x y z (fractional)
Pr (0.0502, 0.2500, 0.1955)
Pr (0.9498, 0.7500, 0.8045)
Np (0.1586, 0.2500, 0.5815)
Np (0.3175, 0.7500, 0.9986)
Np (0.4416, 0.2500, 0.3350)
Np (0.5584, 0.7500, 0.6650)
Np (0.6825, 0.2500, 0.0014)
Np (0.8414, 0.7500, 0.4185)
S (0.0862, 0.7500, 0.4073)
S (0.1215, 0.2500, 0.9610)
S (0.1972, 0.7500, 0.7437)
S (0.2677, 0.7500, 0.2296)
S (0.3969, 0.2500, 0.5561)
S (0.4819, 0.2500, 0.1122)
S (0.5181, 0.7500, 0.8878)
S (0.6031, 0.7500, 0.4439)
S (0.7323, 0.2500, 0.7704)
S (0.8028, 0.2500, 0.2563)
S (0.8785, 0.7500, 0.0390)
S (0.9138, 0.2500, 0.5927)

## Properties
total magnetic moment: 3.99 μB per formula unit
SG: P2_1/m (11)
calculated total energy: -8.36 eV/atom
N(E_F): 62.60 states/eV per cell



# 4
The following is a DFT calculation (PBE) of a relaxed Pr5NpS6 crystal.

Lattice parameters (Å, degrees): 7.0569 7.0569 7.0696 99.62 99.62 120.02
Element x y z (fractional)
Pr (0.0000, 0.0000, 0.0000)
Pr (0.1675, 0.8325, 0.5000)
Pr (0.3281, 0.6719, 0.0000)
Pr (0.6719, 0.3281, 0.0000)
Pr (0.8325, 0.1675, 0.5000)
Np (0.5000, 0.5000, 0.5000)
S (0.0951, 0.4186, 0.2566)
S (0.2584, 0.2584, 0.7474)
S (0.4186, 0.0951, 0.2566)
S (0.5814, 0.9049, 0.7434)
S (0.7416, 0.7416, 0.2526)
S (0.9049, 0.5814, 0.7434)

## Properties
total magnetic moment: 4.41 μB per formula unit
SG: C2/m (12)
calculated total energy: -7.04 eV/atom
N(E_F): 15.59 states/eV per cell



# 5
The following is a DFT calculation (PBE) of a relaxed Pr4NpS7 crystal.

Lattice parameters (Å, degrees): 6.9906 6.9906 11.9346 104.54 104.54 33.08
Element x y z (fractional)
Pr (0.0000, 0.0000, 0.0000)
Pr (0.1887, 0.1887, 0.7671)
Pr (0.5843, 0.5843, 0.3808)
Pr (0.8856, 0.8856, 0.5721)
Np (0.7712, 0.7712, 0.1503)
S (0.1554, 0.1554, 0.2232)
S (0.2256, 0.2256, 0.5229)
S (0.3805, 0.3805, 0.0766)
S (0.5461, 0.5461, 0.6240)
S (0.6258, 0.6258, 0.9274)
S (0.8446, 0.8446, 0.7900)
S (0.9262, 0.9262, 0.3526)

## Properties
total magnetic moment: 4.33 μB per formula unit
SG: Cm (8)
calculated total energy: -6.97 eV/atom
N(E_F): 8.82 states/eV per cell



# 6
The following is a DFT calculation (PBE) of a relaxed PrNp6S8 crystal.

Lattice parameters (Å, degrees): 7.8434 7.8434 7.8434 60.00 60.00 60.00
Element x y z (fractional)
Pr (0.0000, 0.0000, 0.0000)
Np (0.0000, 0.0000, 0.5000)
Np (0.0000, 0.5000, 0.0000)
Np (0.0000, 0.5000, 0.5000)
Np (0.5000, 0.0000, 0.0000)
Np (0.5000, 0.0000, 0.5000)
Np (0.5000, 0.5000, 0.0000)
S (0.2500, 0.2500, 0.2500)
S (0.2578, 0.2578, 0.7422)
S (0.2578, 0.7422, 0.2578)
S (0.2578, 0.7422, 0.7422)
S (0.7422, 0.2578, 0.2578)
S (0.7422, 0.2578, 0.7422)
S (0.7422, 0.7422, 0.2578)
S (0.7500, 0.7500, 0.7500)

## Properties
total magnetic moment: 25.37 μB per formula unit
SG: Fm-3m (225)
calculated total energy: -9.15 eV/atom
N(E_F): 43.39 states/eV per cell



no.,uncorrected formation energy (eV per atom)
1,-1.770
2,-1.849
3,-1.525
4,-1.905
5,-1.894
6,-1.454